Record 1
4
Lattice="3.997 0.000 0.000 0.000 3.997 0.000 0.000 0.000 7.494" Properties=species:S:1:pos:R:3 comment="LaPr2Ge (PBE, optimized geometry)" delta_e_f_ev_per_atom=-0.328 spacegroup="P4/mmm, No. 123" total_energy_ev_per_cell=-20.414 polymorph_energy_mev_per_atom=118 pbc="T T T"
Pr 0.000 0.000 5.983
Pr 0.000 0.000 1.511
Ge 1.999 1.999 0.000
La 1.999 1.999 3.747


Record 2
12
Lattice="3.516 0.000 0.000 -1.758 3.045 0.000 0.000 0.000 34.361" Properties=species:S:1:pos:R:3 comment="Dy7HoTm4 (PBE, optimized geometry)" delta_e_f_ev_per_atom=0.022 spacegroup="P-3m1, No. 164" total_energy_ev_per_cell=-54.413 polymorph_energy_mev_per_atom=24 pbc="T T T"
Dy 0.000 0.000 0.000
Dy 1.758 1.015 20.057
Dy 0.000 2.030 14.304
Dy 1.758 1.015 28.652
Dy 0.000 2.030 5.709
Dy 0.000 0.000 8.602
Dy 0.000 0.000 25.759
Ho 0.000 0.000 17.181
Tm 1.758 1.015 2.855
Tm 0.000 2.030 31.506
Tm 1.758 1.015 11.455
Tm 0.000 2.030 22.907


Record 3
6
Lattice="3.611 0.003 0.432 0.043 3.716 -0.359 -1.086 -2.909 9.072" Properties=species:S:1:pos:R:3 comment="InAgAu (PBE, optimized geometry)" delta_e_f_ev_per_atom=-0.081 spacegroup="P2_1/m, No. 11" total_energy_ev_per_cell=-18.219 polymorph_energy_mev_per_atom=25 pbc="T T T"
In 2.150 1.506 1.510
In -0.210 0.054 5.924
Ag 1.803 1.774 4.402
Ag 0.136 -0.214 3.032
Au -0.556 0.326 8.816
Au 1.410 -1.675 7.690


Record 4
18
Lattice="7.389 0.000 0.000 0.000 7.481 0.000 -3.695 -3.740 5.350" Properties=species:S:1:pos:R:3 comment="RbZnRuF6 (PBE, optimized geometry)" spacegroup="Imma, No. 74" total_energy_ev_per_cell=-83.704 pbc="T T T"
Rb 3.695 1.870 4.206
Rb 0.000 1.870 1.143
Zn 1.847 -1.870 2.675
Zn -1.847 -1.870 2.675
Ru 3.695 3.740 0.000
Ru 3.695 0.000 0.000
F 0.000 1.870 4.562
F 3.695 -1.870 3.416
F 5.185 -0.331 1.311
F 2.204 4.071 1.311
F 2.204 -0.331 1.311
F 5.185 4.071 1.311
F 3.695 1.870 0.788
F 0.000 5.610 1.934
F -1.490 4.071 4.039
F 1.490 -0.331 4.039
F 1.490 4.071 4.039
F -1.490 -0.331 4.039


Record 5
4
Lattice="5.267 0.000 0.000 2.633 4.561 0.000 2.633 1.520 4.300" Properties=species:S:1:pos:R:3 comment="Ac2SiF (PBE, optimized geometry)" spacegroup="Fm-3m, No. 225" total_energy_ev_per_cell=-20.871 polymorph_energy_mev_per_atom=179 pbc="T T T"
Ac 2.633 1.520 1.075
Ac 7.900 4.561 3.225
Si 5.267 3.041 2.150
F 0.000 0.000 0.000


Record 6
4
Lattice="-3.152 -0.800 1.091 0.345 -3.150 -1.313 2.754 -2.309 6.266" Properties=species:S:1:pos:R:3 comment="NpUPt2 (PBE, optimized geometry)" delta_e_f_ev_per_atom=-0.455 spacegroup="P4/mmm, No. 123" total_energy_ev_per_cell=-38.129 polymorph_energy_mev_per_atom=259 pbc="T T T"
Np -0.026 -3.130 3.022
U -1.403 -1.975 -0.111
Pt 2.088 -1.750 4.749
Pt 0.667 -0.559 1.517